1.
CePu3Pt4: relaxed, PBE-GGA.

Its total energy is -9.931 eV per atom. As for the mass density: 15.6 Mg/m³. The energy of formation from the pure elements comes out at -0.794 eV per atom. Its crystal system is orthorhombic. The density of states at the Fermi level is 34.46 states/eV/f.u.

Cell lengths 3.5186, 4.9808, 10.0238 Å; angles 90.00, 90.00, 90.00 degrees
With the nearest neighbours (Å) after each atom.
Atoms (fractional coordinates):
Ce (0.0000, 0.0000, 0.0000)  8 Pt 3.03-3.05
Pu (0.0000, 0.0000, 0.5000)  8 Pt 3.05-3.09
Pu (0.0000, 0.5000, 0.2519)  8 Pt 3.05-3.08
Pu (0.0000, 0.5000, 0.7481)  8 Pt 3.05-3.08
Pt (0.5000, 0.0000, 0.2464)  2 Ce 3.03, 6 Pu 3.05-3.09
Pt (0.5000, 0.0000, 0.7536)  2 Ce 3.03, 6 Pu 3.05-3.09
Pt (0.5000, 0.5000, 0.0000)  4 Ce 3.05, 4 Pu 3.08
Pt (0.5000, 0.5000, 0.5000)  8 Pu 3.05

2.
Ce7PuPt2: relaxed, PBE-GGA.

Its total energy is -7.181 eV per atom. As for the mass density: 11.3 Mg/m³. For the polymorph energy (0 for the lowest one), the calculation gives 0.00 eV/f.u. The energy of formation from the pure elements comes out at -0.386 eV per atom. Its crystal system is monoclinic. The density of states at the Fermi level is 20.14 states/eV/f.u.

Cell lengths 8.5777, 8.5777, 9.4122 Å; angles 119.42, 119.42, 55.79 degrees
With the nearest neighbours (Å) after each atom.
Atoms (fractional coordinates):
Ce (0.0001, 0.9999, 0.2500)  2 Pt 2.93, 4 Ce 2.95-3.22
Ce (0.9999, 0.0001, 0.7500)  2 Pt 2.93, 4 Ce 2.95-3.22
Ce (0.1190, 0.5782, 0.1758)  1 Pu 2.60
Ce (0.1831, 0.4203, 0.4675)  1 Ce 2.89, 1 Pu 2.91, 3 Pt 2.96-3.15
Ce (0.2419, 0.6183, 0.8811)  1 Pu 2.63
Ce (0.3817, 0.7581, 0.6189)  1 Pu 2.63
Ce (0.4203, 0.1831, 0.9675)  1 Ce 2.89, 1 Pu 2.91, 3 Pt 2.96-3.15
Ce (0.4218, 0.8810, 0.3242)  1 Pu 2.60
Ce (0.5782, 0.1190, 0.6758)  1 Pu 2.60
Ce (0.5797, 0.8169, 0.0325)  1 Ce 2.89, 1 Pu 2.91, 3 Pt 2.96-3.15
Ce (0.6183, 0.2419, 0.3811)  1 Pu 2.63
Ce (0.7581, 0.3817, 0.1189)  1 Pu 2.63
Ce (0.8169, 0.5797, 0.5325)  1 Ce 2.89, 1 Pu 2.91, 3 Pt 2.96-3.15
Ce (0.8810, 0.4218, 0.8242)  1 Pu 2.60
Pu (0.4784, 0.5216, 0.2500)  4 Ce 2.60-2.63
Pu (0.5216, 0.4784, 0.7500)  4 Ce 2.60-2.63
Pt (0.1575, 0.1826, 0.6145)  7 Ce 2.93-3.15
Pt (0.1826, 0.1575, 0.1145)  7 Ce 2.93-3.15
Pt (0.8174, 0.8425, 0.8855)  7 Ce 2.93-3.15
Pt (0.8425, 0.8174, 0.3855)  7 Ce 2.93-3.15

3.
Ce6PuPt: relaxed, PBE-GGA.

Its total energy is -7.280 eV per atom. As for the mass density: 9.3 Mg/m³. For the polymorph energy (0 for the lowest one), the calculation gives 0.06 eV/f.u. The energy of formation from the pure elements comes out at -0.283 eV per atom. Its crystal system is monoclinic. The density of states at the Fermi level is 14.96 states/eV/f.u.

Cell lengths 6.2443, 6.2443, 6.6625 Å; angles 97.99, 97.99, 114.00 degrees
With the nearest neighbours (Å) after each atom.
Atoms (fractional coordinates):
Ce (0.0397, 0.3650, 0.2348)  1 Pu 2.48
Ce (0.2529, 0.2529, 0.7942)  1 Pu 2.46
Ce (0.3650, 0.0397, 0.2348)  1 Pu 2.48
Ce (0.6350, 0.9603, 0.7652)  1 Pu 2.48
Ce (0.7471, 0.7471, 0.2058)  1 Pu 2.46
Ce (0.9603, 0.6350, 0.7652)  1 Pu 2.48
Pu (0.0000, 0.0000, 0.0000)  6 Ce 2.46-2.48
Pt (0.5000, 0.5000, 0.5000)  6 Ce 2.88-2.89

4.
CePuPt4: relaxed, PBE-GGA.

Its total energy is -8.369 eV per atom. As for the mass density: 16.7 Mg/m³. The energy of formation from the pure elements comes out at -0.964 eV per atom. Its crystal system is cubic. The density of states at the Fermi level is 14.54 states/eV/f.u.

Cell lengths 5.4740, 5.4740, 5.4740 Å; angles 60.00, 60.00, 60.00 degrees
With the nearest neighbours (Å) after each atom.
Atoms (fractional coordinates):
Ce (0.0000, 0.0000, 0.0000)  12 Pt 3.21, 4 Pu 3.35
Pu (0.2500, 0.2500, 0.2500)  12 Pt 3.21, 4 Ce 3.35
Pt (0.1256, 0.6248, 0.6248)  6 Pt 2.73-2.74
Pt (0.6248, 0.1256, 0.6248)  6 Pt 2.73-2.74
Pt (0.6248, 0.6248, 0.1256)  6 Pt 2.73-2.74
Pt (0.6248, 0.6248, 0.6248)  6 Pt 2.73-2.74

5.
CePuPt: relaxed, PBE-GGA.

Its total energy is -9.240 eV per atom. As for the mass density: 15.4 Mg/m³. For the polymorph energy (0 for the lowest one), the calculation gives 0.58 eV/f.u. The energy of formation from the pure elements comes out at -0.471 eV per atom. Its crystal system is hexagonal. The density of states at the Fermi level is 6.53 states/eV/f.u.

Cell lengths 4.9440, 4.9440, 2.9418 Å; angles 90.00, 90.00, 120.00 degrees
With the nearest neighbours (Å) after each atom.
Atoms (fractional coordinates):
Ce (0.0000, 0.0000, 0.0000)  3 Pu 2.85, 2 Ce 2.94
Pu (0.6667, 0.3333, 0.0000)  3 Ce 2.85, 2 Pu 2.94
Pt (0.3333, 0.6667, 0.5000)  2 Pt 2.94, 6 Ce 3.21, 6 Pu 3.21

6.
CePuPt2: relaxed, PBE-GGA.

Its total energy is -9.037 eV per atom. As for the mass density: 13.9 Mg/m³. The energy of formation from the pure elements comes out at -0.950 eV per atom. Its crystal system is orthorhombic. The density of states at the Fermi level is 14.58 states/eV/f.u.

Cell lengths 4.3656, 5.7632, 5.7632 Å; angles 39.77, 90.00, 90.00 degrees
With the nearest neighbours (Å) after each atom.
Atoms (fractional coordinates):
Ce (0.0000, 0.0000, 0.0000)  7 Pt 2.93-3.17
Pu (0.5000, 0.7275, 0.7275)  7 Pt 2.93-3.17
Pt (0.0000, 0.2705, 0.2705)  3 Ce 2.93-3.17, 4 Pu 2.97, 2 Pt 2.97
Pt (0.5000, 0.4569, 0.4569)  3 Pu 2.93-3.17, 4 Ce 2.97, 2 Pt 2.97